Computed, not measured: crystalline Tb2Pm6Sm at its relaxed geometry at the PBE-GGA level of DFT.

abc: 3.6325 8.8925 13.0589
angles: 132.72 81.93 90.13
Fractional coordinates of all 9 atoms:
1 Pm 0.8903 0.5546 0.2198
2 Pm 0.7785 0.1088 0.4427
3 Pm 0.1097 0.4454 0.7802
4 Pm 0.2215 0.8912 0.5573
5 Pm 0.6662 0.6672 0.6678
6 Pm 0.3338 0.3328 0.3322
7 Tb 0.5554 0.2227 0.8896
8 Tb 0.4446 0.7773 0.1104
9 Sm 0.0000 0.0000 0.0000

**Volume**: 33.81 A^3/atom
**N(E_F)**: 13.73 states/eV/cell
**Energy of formation from the pure elements**: 0.015 eV/atom
**Distance to the lowest polymorph of the same formula**: 0 meV per atom

Computed, not measured: crystalline Tb3Pm5Sm at its relaxed geometry at the PBE-GGA level of DFT.

abc: 9.4248 9.4248 12.6938
angles: 52.35 52.35 52.00
Fractional coordinates of all 18 atoms:
1 Sm 0.1072 0.1072 0.1306
2 Sm 0.8928 0.8928 0.8694
3 Pm 0.5130 0.9118 0.2245
4 Pm 0.5591 0.5591 0.5762
5 Pm 0.4870 0.0882 0.7755
6 Pm 0.3171 0.6829 0.0000
7 Pm 0.4409 0.4409 0.4238
8 Pm 0.6347 0.6347 0.0583
9 Pm 0.6829 0.3171 0.0000
10 Pm 0.9118 0.5130 0.2245
11 Pm 0.3653 0.3653 0.9417
12 Pm 0.0882 0.4870 0.7755
13 Tb 0.1625 0.1625 0.6556
14 Tb 0.2968 0.2968 0.3108
15 Tb 0.0000 0.0000 0.5000
16 Tb 0.0000 0.0000 0.0000
17 Tb 0.7032 0.7032 0.6892
18 Tb 0.8375 0.8375 0.3444

**Volume**: 36.22 A^3/atom
**N(E_F)**: 25.74 states/eV/cell
**Energy of formation from the pure elements**: 0.400 eV/atom
**Distance to the lowest polymorph of the same formula**: 270 meV per atom

Computed, not measured: crystalline TbPmSm2Te6 at its relaxed geometry at the PBE-GGA level of DFT.

abc: 7.8390 7.8391 8.4403
angles: 62.32 62.32 60.00
Fractional coordinates of all 10 atoms:
1 Sm 0.0104 0.0104 0.9690
2 Sm 0.5115 0.5115 0.4655
3 Te 0.4151 0.7237 0.7537
4 Te 0.7237 0.1075 0.7537
5 Te 0.9224 0.6000 0.2509
6 Te 0.1075 0.4151 0.7536
7 Te 0.2267 0.9224 0.2509
8 Te 0.6000 0.2267 0.2509
9 Pm 0.8214 0.8214 0.5357
10 Tb 0.3228 0.3228 0.0314

**Volume**: 37.91 A^3/atom
**Energy relative to the elements, uncorrected**: -1.38 eV/atom

Computed, not measured: crystalline Tb2PmSm3Te6 at its relaxed geometry at the PBE-GGA level of DFT.

abc: 4.4028 8.8936 9.8868
angles: 102.91 102.87 90.00
Fractional coordinates of all 12 atoms:
1 Te 0.3313 0.4197 0.6627
2 Te 0.6687 0.5803 0.3373
3 Te 0.0023 0.2526 0.0046
4 Te 0.6687 0.0885 0.3373
5 Te 0.3313 0.9115 0.6627
6 Te 0.9977 0.7474 0.9954
7 Pm 0.5000 0.0000 0.0000
8 Sm 0.1635 0.8332 0.3270
9 Sm 0.5000 0.5000 0.0000
10 Sm 0.8365 0.1668 0.6730
11 Tb 0.8346 0.6685 0.6693
12 Tb 0.1654 0.3315 0.3307

**Volume**: 30.61 A^3/atom
**N(E_F)**: 6.46 states/eV/cell
**Energy relative to the elements, uncorrected**: -1.36 eV/atom

Computed, not measured: crystalline Tb3PmSm2Te6 at its relaxed geometry at the PBE-GGA level of DFT.

abc: 4.3849 8.8813 9.8738
angles: 103.36 102.83 90.00
Fractional coordinates of all 12 atoms:
1 Sm 0.8338 0.6679 0.6676
2 Sm 0.1662 0.3321 0.3324
3 Te 0.9987 0.2548 0.9975
4 Te 0.6688 0.0797 0.3376
5 Te 0.6655 0.5863 0.3311
6 Te 0.3345 0.4137 0.6689
7 Te 0.0013 0.7452 0.0025
8 Te 0.3312 0.9203 0.6624
9 Tb 0.8340 0.1672 0.6680
10 Tb 0.5000 0.5000 0.0000
11 Tb 0.1660 0.8328 0.3320
12 Pm 0.5000 0.0000 0.0000

**Volume**: 30.35 A^3/atom
**N(E_F)**: 6.19 states/eV/cell
**Energy relative to the elements, uncorrected**: -1.35 eV/atom

Computed, not measured: crystalline Tb3Pm2SmTe6 at its relaxed geometry at the PBE-GGA level of DFT.

abc: 4.3872 8.8913 9.8833
angles: 103.40 102.82 90.00
Fractional coordinates of all 12 atoms:
1 Te 0.3322 0.9215 0.6645
2 Te 0.0019 0.7470 0.0038
3 Te 0.6678 0.0785 0.3355
4 Te 0.3353 0.4122 0.6705
5 Te 0.6647 0.5878 0.3295
6 Te 0.9981 0.2530 0.9962
7 Tb 0.5000 0.5000 0.0000
8 Tb 0.1672 0.8333 0.3344
9 Tb 0.8328 0.1667 0.6656
10 Pm 0.1670 0.3339 0.3340
11 Pm 0.8330 0.6661 0.6660
12 Sm 0.5000 0.0000 0.0000

**Volume**: 30.43 A^3/atom
**N(E_F)**: 6.18 states/eV/cell
**Energy relative to the elements, uncorrected**: -1.36 eV/atom

Computed, not measured: crystalline TbPm2Sm4Th at its relaxed geometry at the PBE-GGA level of DFT.

abc: 6.0513 6.0502 9.4889
angles: 50.45 90.00 90.00
Fractional coordinates of all 8 atoms:
1 Pm 0.0000 0.0000 0.0000
2 Pm 0.5000 0.0000 0.5000
3 Sm 0.5000 0.2470 0.7531
4 Sm 0.0000 0.7468 0.7533
5 Sm 0.0000 0.2532 0.2467
6 Sm 0.5000 0.7530 0.2469
7 Tb 0.0000 0.5000 0.5000
8 Th 0.5000 0.5000 0.0000

**Volume**: 33.48 A^3/atom
**N(E_F)**: 15.81 states/eV/cell
**Energy of formation from the pure elements**: 0.134 eV/atom

Computed, not measured: crystalline Tb4Pm2Sm2Th at its relaxed geometry at the PBE-GGA level of DFT.

abc: 3.6313 9.6073 9.6370
angles: 115.35 90.00 100.89
Fractional coordinates of all 9 atoms:
1 Tb 0.4819 0.9638 0.6730
2 Tb 0.5181 0.0362 0.3270
3 Tb 0.1835 0.3671 0.3339
4 Tb 0.8165 0.6329 0.6661
5 Pm 0.6635 0.3269 0.0042
6 Pm 0.3365 0.6731 0.9958
7 Th 0.0000 0.0000 0.0000
8 Sm 0.8525 0.7049 0.3351
9 Sm 0.1475 0.2951 0.6649

**Volume**: 33.01 A^3/atom
**N(E_F)**: 12.45 states/eV/cell
**Energy of formation from the pure elements**: 0.005 eV/atom

Computed, not measured: crystalline TbPmSm2Th at its relaxed geometry at the PBE-GGA level of DFT.

abc: 8.4512 6.3996 6.5977
angles: 103.94 90.00 90.00
Fractional coordinates of all 10 atoms:
1 Pm 0.9091 0.5000 0.2500
2 Pm 0.0909 0.5000 0.7500
3 Sm 0.3289 0.2821 0.3400
4 Sm 0.6711 0.7179 0.6600
5 Sm 0.3289 0.7179 0.1600
6 Sm 0.6711 0.2821 0.8400
7 Th 0.0000 0.0000 0.0000
8 Th 0.0000 0.0000 0.5000
9 Tb 0.3382 0.0000 0.7500
10 Tb 0.6618 0.0000 0.2500

**Volume**: 34.63 A^3/atom
**N(E_F)**: 17.98 states/eV/cell
**Energy of formation from the pure elements**: 0.259 eV/atom

Computed, not measured: crystalline TbPm4Sm2Th at its relaxed geometry at the PBE-GGA level of DFT.

abc: 6.0724 6.0659 9.4863
angles: 50.34 90.00 90.00
Fractional coordinates of all 8 atoms:
1 Tb 0.0000 0.5000 0.5000
2 Sm 0.5000 0.0000 0.5000
3 Sm 0.0000 0.0000 0.0000
4 Th 0.5000 0.5000 0.0000
5 Pm 0.0000 0.2540 0.2463
6 Pm 0.0000 0.7460 0.7537
7 Pm 0.5000 0.2469 0.7535
8 Pm 0.5000 0.7531 0.2465

**Volume**: 33.63 A^3/atom
**N(E_F)**: 15.87 states/eV/cell
**Energy of formation from the pure elements**: 0.135 eV/atom

Computed, not measured: crystalline Tb4Pm2SmTh at its relaxed geometry at the PBE-GGA level of DFT.

abc: 5.1094 5.0914 11.3028
angles: 63.25 90.00 90.00
Fractional coordinates of all 8 atoms:
1 Tb 0.5000 0.7452 0.2545
2 Tb 0.5000 0.2548 0.7455
3 Tb 0.0000 0.2458 0.2542
4 Tb 0.0000 0.7542 0.7458
5 Sm 0.5000 0.5000 0.0000
6 Pm 0.5000 0.0000 0.5000
7 Pm 0.0000 0.0000 0.0000
8 Th 0.0000 0.5000 0.5000

**Volume**: 32.82 A^3/atom
**N(E_F)**: 10.48 states/eV/cell
**Energy of formation from the pure elements**: 0.029 eV/atom

Computed, not measured: crystalline Tb3PmSm6Th2 at its relaxed geometry at the PBE-GGA level of DFT.

abc: 6.2440 6.2440 11.9662
angles: 95.00 95.00 119.92
Fractional coordinates of all 12 atoms:
1 Sm 0.4212 0.0833 0.2482
2 Sm 0.7453 0.7453 0.2485
3 Sm 0.9167 0.5788 0.7518
4 Sm 0.2547 0.2547 0.7515
5 Sm 0.5788 0.9167 0.7518
6 Sm 0.0833 0.4212 0.2482
7 Th 0.3333 0.6667 0.0000
8 Th 0.6667 0.3333 0.0000
9 Tb 0.8334 0.1666 0.5000
10 Tb 0.5000 0.5000 0.5000
11 Tb 0.1666 0.8334 0.5000
12 Pm 0.0000 0.0000 0.0000

**Volume**: 33.18 A^3/atom
**N(E_F)**: 17.37 states/eV/cell
**Energy of formation from the pure elements**: 0.036 eV/atom

Computed, not measured: crystalline TbPm5Sm2Th at its relaxed geometry at the PBE-GGA level of DFT.

abc: 5.7058 10.6664 10.5813
angles: 90.00 90.00 105.51
Fractional coordinates of all 18 atoms:
1 Sm 0.1144 0.2288 0.7328
2 Sm 0.8844 0.7687 0.8164
3 Sm 0.8856 0.7712 0.2328
4 Sm 0.1156 0.2313 0.3164
5 Pm 0.0152 0.0303 0.0194
6 Pm 0.4803 0.9606 0.7431
7 Pm 0.9848 0.9697 0.5194
8 Pm 0.5197 0.0394 0.2431
9 Pm 0.3873 0.7747 0.0257
10 Pm 0.7242 0.4484 0.8144
11 Pm 0.2758 0.5516 0.3144
12 Pm 0.6127 0.2253 0.5257
13 Pm 0.2947 0.5894 0.7046
14 Pm 0.7053 0.4106 0.2046
15 Tb 0.4066 0.8131 0.4552
16 Tb 0.5934 0.1869 0.9552
17 Th 0.8014 0.6028 0.5123
18 Th 0.1986 0.3972 0.0123

**Volume**: 34.47 A^3/atom
**N(E_F)**: 26.52 states/eV/cell
**Energy of formation from the pure elements**: 0.152 eV/atom

Computed, not measured: crystalline Tb5PmSmTh2 at its relaxed geometry at the PBE-GGA level of DFT.

abc: 8.8591 8.8591 9.9356
angles: 116.48 116.48 90.00
Fractional coordinates of all 18 atoms:
1 Th 0.8810 0.6190 0.0000
2 Th 0.3810 0.8810 0.0000
3 Th 0.6190 0.1190 0.0000
4 Th 0.1190 0.3810 0.0000
5 Tb 0.0000 0.0000 0.0000
6 Tb 0.0697 0.5697 0.7248
7 Tb 0.1550 0.0697 0.7248
8 Tb 0.5000 0.5000 0.0000
9 Tb 0.9303 0.4303 0.2752
10 Tb 0.4303 0.3450 0.2752
11 Tb 0.5697 0.6550 0.7248
12 Tb 0.8450 0.9303 0.2752
13 Tb 0.6550 0.1550 0.7248
14 Tb 0.3450 0.8450 0.2752
15 Pm 0.7500 0.7500 0.5000
16 Pm 0.2500 0.2500 0.5000
17 Sm 0.7500 0.2500 0.5000
18 Sm 0.2500 0.7500 0.5000

**Volume**: 33.63 A^3/atom
**N(E_F)**: 25.36 states/eV/cell
**Energy of formation from the pure elements**: 0.323 eV/atom

Computed, not measured: crystalline TbPmSm3Th at its relaxed geometry at the PBE-GGA level of DFT.

abc: 5.6980 10.5996 6.9507
angles: 88.32 90.00 105.59
Fractional coordinates of all 12 atoms:
1 Sm 0.8419 0.6838 0.2530
2 Sm 0.2200 0.4401 0.2466
3 Sm 0.7800 0.5599 0.7534
4 Sm 0.5198 0.0396 0.7507
5 Sm 0.1581 0.3162 0.7470
6 Sm 0.4802 0.9604 0.2493
7 Pm 0.3554 0.7107 0.9573
8 Pm 0.6446 0.2893 0.0427
9 Th 0.9426 0.8851 0.7158
10 Th 0.0574 0.1149 0.2842
11 Tb 0.3509 0.7019 0.5223
12 Tb 0.6491 0.2981 0.4777

**Volume**: 33.68 A^3/atom
**N(E_F)**: 16.30 states/eV/cell
**Energy of formation from the pure elements**: 0.207 eV/atom

Computed, not measured: crystalline Tb5Pm2SmTh at its relaxed geometry at the PBE-GGA level of DFT.

abc: 5.7608 11.1632 9.8609
angles: 90.00 90.00 104.95
Fractional coordinates of all 18 atoms:
1 Tb 0.2726 0.5451 0.3245
2 Tb 0.6949 0.3899 0.2138
3 Tb 0.5307 0.0614 0.2409
4 Tb 0.4693 0.9386 0.7409
5 Tb 0.0146 0.0292 0.0174
6 Tb 0.6008 0.2016 0.5413
7 Tb 0.3992 0.7984 0.0413
8 Tb 0.9854 0.9708 0.5174
9 Tb 0.3051 0.6101 0.7138
10 Tb 0.7274 0.4549 0.8245
11 Pm 0.1281 0.2562 0.7128
12 Pm 0.1158 0.2317 0.3310
13 Pm 0.8719 0.7438 0.2128
14 Pm 0.8842 0.7683 0.8310
15 Th 0.4068 0.8136 0.4247
16 Th 0.5932 0.1864 0.9247
17 Sm 0.1905 0.3809 0.0176
18 Sm 0.8095 0.6191 0.5176

**Volume**: 34.04 A^3/atom
**N(E_F)**: 24.76 states/eV/cell
**Energy of formation from the pure elements**: 0.159 eV/atom

Computed, not measured: crystalline TbPm6SmTh2 at its relaxed geometry at the PBE-GGA level of DFT.

abc: 10.3857 8.7422 8.7422
angles: 117.81 96.79 96.79
Fractional coordinates of all 20 atoms:
1 Pm 0.1745 0.5707 0.0175
2 Pm 0.4505 0.2607 0.8906
3 Pm 0.1173 0.6909 0.4907
4 Pm 0.9505 0.8906 0.2607
5 Pm 0.6173 0.4907 0.6909
6 Pm 0.6745 0.0175 0.5707
7 Pm 0.5495 0.7393 0.1094
8 Pm 0.3255 0.9825 0.4293
9 Pm 0.8827 0.3091 0.5093
10 Pm 0.3827 0.5093 0.3091
11 Pm 0.0495 0.1094 0.7393
12 Pm 0.8255 0.4293 0.9825
13 Th 0.9575 0.7322 0.8188
14 Th 0.0425 0.2678 0.1812
15 Th 0.4575 0.8188 0.7322
16 Th 0.5425 0.1812 0.2678
17 Sm 0.7500 0.0091 0.9909
18 Sm 0.2500 0.9909 0.0091
19 Tb 0.2500 0.4036 0.5964
20 Tb 0.7500 0.5964 0.4036

**Volume**: 34.17 A^3/atom
**N(E_F)**: 30.29 states/eV/cell
**Energy of formation from the pure elements**: 0.152 eV/atom

Computed, not measured: crystalline Tb2PmSm5Th at its relaxed geometry at the PBE-GGA level of DFT.

abc: 5.6974 10.5762 10.5285
angles: 90.00 90.00 105.63
Fractional coordinates of all 18 atoms:
1 Pm 0.4101 0.8201 0.4485
2 Pm 0.5899 0.1799 0.9485
3 Tb 0.1140 0.2279 0.7326
4 Tb 0.8845 0.7691 0.8194
5 Tb 0.1155 0.2309 0.3194
6 Tb 0.8860 0.7721 0.2326
7 Sm 0.7236 0.4471 0.8151
8 Sm 0.2764 0.5529 0.3151
9 Sm 0.2952 0.5904 0.7058
10 Sm 0.3888 0.7775 0.0268
11 Sm 0.7048 0.4096 0.2058
12 Sm 0.4779 0.9558 0.7405
13 Sm 0.5221 0.0442 0.2405
14 Sm 0.9840 0.9681 0.5219
15 Sm 0.0160 0.0319 0.0219
16 Sm 0.6112 0.2225 0.5268
17 Th 0.8008 0.6016 0.5134
18 Th 0.1992 0.3984 0.0134

**Volume**: 33.94 A^3/atom
**N(E_F)**: 26.98 states/eV/cell
**Energy of formation from the pure elements**: 0.159 eV/atom

Computed, not measured: crystalline Tb5PmSm2Th at its relaxed geometry at the PBE-GGA level of DFT.

abc: 5.7595 11.1571 9.8504
angles: 90.00 90.00 104.96
Fractional coordinates of all 18 atoms:
1 Tb 0.2730 0.5460 0.3235
2 Tb 0.9855 0.9709 0.5181
3 Tb 0.7270 0.4540 0.8235
4 Tb 0.6950 0.3900 0.2133
5 Tb 0.3998 0.7996 0.0413
6 Tb 0.0145 0.0291 0.0181
7 Tb 0.6002 0.2004 0.5413
8 Tb 0.3050 0.6100 0.7133
9 Tb 0.4689 0.9378 0.7406
10 Tb 0.5311 0.0622 0.2406
11 Th 0.4073 0.8146 0.4240
12 Th 0.5927 0.1854 0.9240
13 Sm 0.8838 0.7677 0.8320
14 Sm 0.8722 0.7445 0.2132
15 Sm 0.1162 0.2323 0.3320
16 Sm 0.1278 0.2555 0.7132
17 Pm 0.1903 0.3807 0.0179
18 Pm 0.8097 0.6193 0.5179

**Volume**: 33.97 A^3/atom
**N(E_F)**: 24.19 states/eV/cell
**Energy of formation from the pure elements**: 0.159 eV/atom